First-principles (GGA-PBE) data for a geometry-optimized Rb2NbH structure, as listed in Alexandria.

Cell and atoms, written as CIF:
```
data_Rb2NbH
_chemical_formula_sum 'Rb8 Nb4 H4'
_symmetry_space_group_name_H-M 'I -4 2 d'
_symmetry_Int_Tables_number 122
_symmetry_space_group_name_Hall 'I -4 2bw'
_cell_length_a 12.893
_cell_length_b 12.893
_cell_length_c 3.960
_cell_angle_alpha 90.00
_cell_angle_beta 90.00
_cell_angle_gamma 90.00
loop_
_atom_site_label
_atom_site_type_symbol
_atom_site_fract_x
_atom_site_fract_y
_atom_site_fract_z
_atom_site_occupancy
Rb1 Rb 0.070 0.250 0.125 1
Nb1 Nb 0.000 0.000 0.500 1
H1 H 0.000 0.000 0.000 1
```

energy above the most stable polymorph in this dataset	0	meV/atom
total energy	-2.9583	eV/atom
M_tot	1.005	μB per atom